Below is a relaxed structure of FeRh2, with properties calculated at the GGA-PBE level.

## Properties
The calculated formation energy comes out at -0.01 eV per atom. As for the space group: Cmcm, No. 63.

a b c (Å): 5.996 5.996 3.824
angles (deg): 90.00 90.00 143.60
Last column: magnetic moment on the atom in μB.
Element x y z (fractional)
Rh1 0.750 0.250 0.750  0.05
Rh2 0.250 0.750 0.250  0.05
Rh3 0.418 0.582 0.750  0.16
Rh4 0.582 0.418 0.250  0.16
Fe1 0.084 0.916 0.750  2.85
Fe2 0.916 0.084 0.250  2.85

---

Below is a relaxed structure of Fe4Rh, with properties calculated at the GGA-PBE level.

## Properties
Its offset from the most stable computed form is 2.399 eV per formula unit. The calculated formation energy comes out at 0.45 eV per atom. As for the space group: I4/mmm, No. 139.

a b c (Å): 5.816 5.816 5.816
angles (deg): 145.60 145.60 49.45
Last column: magnetic moment on the atom in μB.
Element x y z (fractional)
Fe1 0.598 0.598 0.000  -1.64
Fe2 0.250 0.750 0.500  1.85
Fe3 0.402 0.402 0.000  -1.64
Fe4 0.750 0.250 0.500  1.85
Rh1 0.000 0.000 0.000  -0.28

---

Below is a relaxed structure of Fe3Rh2, with properties calculated at the GGA-PBE level.

## Properties
Its offset from the most stable computed form is 0.401 eV per formula unit. The calculated formation energy comes out at 0.04 eV per atom. As for the space group: Immm, No. 71.

a b c (Å): 2.726 7.114 3.546
angles (deg): 75.57 90.00 78.96
Last column: magnetic moment on the atom in μB.
Element x y z (fractional)
Fe1 0.803 0.395 0.803  2.73
Fe2 0.997 0.005 0.997  2.73
Fe3 0.400 0.200 0.400  2.73
Rh1 0.207 0.586 0.207  0.26
Rh2 0.593 0.814 0.593  0.26

---

Below is a relaxed structure of FeRh, with properties calculated at the GGA-PBE level.

## Properties
The calculated formation energy comes out at 0.03 eV per atom. As for the space group: Pmmm, No. 47.

a b c (Å): 2.703 7.991 3.679
angles (deg): 90.00 90.00 90.00
Last column: magnetic moment on the atom in μB.
Element x y z (fractional)
Fe1 0.000 0.005 0.000  2.72
Fe2 0.500 0.167 0.500  2.74
Fe3 0.000 0.329 0.000  2.72
Rh1 0.000 0.667 0.000  -0.13
Rh2 0.500 0.847 0.500  0.23
Rh3 0.500 0.487 0.500  0.23

---

Below is a relaxed structure of Fe3Rh2, with properties calculated at the GGA-PBE level.

## Properties
Its offset from the most stable computed form is 1.599 eV per formula unit. The calculated formation energy comes out at 0.28 eV per atom. As for the space group: P-3m1, No. 164.

a b c (Å): 4.147 4.147 5.105
angles (deg): 90.00 90.00 120.00
Last column: magnetic moment on the atom in μB.
Element x y z (fractional)
Fe1 0.000 0.000 0.000  3.13
Fe2 0.333 0.667 0.356  3.13
Fe3 0.667 0.333 0.644  3.13
Rh1 0.333 0.667 0.838  0.87
Rh2 0.667 0.333 0.162  0.87

---

Below is a relaxed structure of FeRh, with properties calculated at the GGA-PBE level.

## Properties
The calculated formation energy comes out at 1.33 eV per atom. As for the space group: I-43m, No. 217.

a b c (Å): 7.143 7.143 7.143
angles (deg): 90.00 90.00 90.00
Element x y z (fractional)
Rh1 0.157 0.157 0.843
Rh2 0.343 0.657 0.657
Rh3 0.657 0.657 0.343
Rh4 0.843 0.843 0.843
Rh5 0.657 0.343 0.657
Rh6 0.157 0.843 0.157
Rh7 0.343 0.343 0.343
Rh8 0.843 0.157 0.157
Fe1 0.842 0.158 0.842
Fe2 0.158 0.842 0.842
Fe3 0.158 0.158 0.158
Fe4 0.842 0.842 0.158
Fe5 0.342 0.342 0.658
Fe6 0.342 0.658 0.342
Fe7 0.658 0.342 0.342
Fe8 0.658 0.658 0.658

---

Below is a relaxed structure of Fe5Rh, with properties calculated at the GGA-PBE level.

## Properties
Its offset from the most stable computed form is 0.035 eV per formula unit. The calculated formation energy comes out at -0.02 eV per atom. As for the space group: Cmmm, No. 65.

a b c (Å): 6.482 6.482 2.926
angles (deg): 90.00 90.00 142.85
Last column: magnetic moment on the atom in μB.
Element x y z (fractional)
Fe1 0.328 0.672 0.000  2.71
Fe2 0.000 0.000 0.000  2.82
Fe3 0.167 0.833 0.500  2.56
Fe4 0.672 0.328 0.000  2.71
Fe5 0.833 0.167 0.500  2.56
Rh1 0.500 0.500 0.500  0.84

---

Below is a relaxed structure of FeRh2, with properties calculated at the GGA-PBE level.

## Properties
The calculated formation energy comes out at 0.11 eV per atom. As for the space group: R-3m, No. 166.

a b c (Å): 2.689 2.689 6.854
angles (deg): 78.69 78.69 60.00
Last column: magnetic moment on the atom in μB.
Element x y z (fractional)
Fe1 0.000 0.000 0.000  2.63
Rh1 0.436 0.436 0.693  0.13
Rh2 0.564 0.564 0.307  0.13

---

Below is a relaxed structure of Fe4Rh, with properties calculated at the GGA-PBE level.

## Properties
Its offset from the most stable computed form is 0.066 eV per formula unit. The calculated formation energy comes out at -0.02 eV per atom. As for the space group: R-3m, No. 166.

a b c (Å): 4.134 4.134 4.863
angles (deg): 115.15 64.85 120.00
Last column: magnetic moment on the atom in μB.
Element x y z (fractional)
Fe1 0.603 0.397 0.190  2.76
Fe2 0.797 0.203 0.610  2.76
Fe3 0.000 0.000 0.001  2.69
Fe4 0.400 0.600 0.799  2.69
Rh1 0.200 0.800 0.400  0.91

---

Below is a relaxed structure of Fe5Rh, with properties calculated at the GGA-PBE level.

## Properties
Its offset from the most stable computed form is 0.000 eV per formula unit. The calculated formation energy comes out at -0.02 eV per atom. As for the space group: C2/m, No. 12.

a b c (Å): 2.902 5.820 4.840
angles (deg): 72.47 72.56 90.00
Last column: magnetic moment on the atom in μB.
Element x y z (fractional)
Fe1 0.335 0.175 0.331  2.64
Fe2 0.667 0.333 0.667  2.56
Fe3 0.996 0.006 0.008  2.71
Fe4 0.999 0.492 0.003  2.64
Fe5 0.337 0.661 0.326  2.71
Rh1 0.667 0.833 0.667  0.81

---

Below is a relaxed structure of Fe3Rh, with properties calculated at the GGA-PBE level.

## Properties
The calculated formation energy comes out at 0.10 eV per atom. As for the space group: R-3m, No. 166.

a b c (Å): 8.392 8.392 8.392
angles (deg): 18.44 18.44 18.44
Last column: magnetic moment on the atom in μB.
Element x y z (fractional)
Fe1 0.503 0.503 0.503  2.84
Fe2 0.250 0.250 0.250  2.66
Fe3 0.997 0.997 0.997  2.84
Rh1 0.750 0.750 0.750  0.87

---

Below is a relaxed structure of FeRh3, with properties calculated at the GGA-PBE level.

## Properties
The calculated formation energy comes out at 0.03 eV per atom. As for the space group: R-3m, No. 166.

a b c (Å): 8.766 8.766 8.766
angles (deg): 17.82 17.82 17.82
Last column: magnetic moment on the atom in μB.
Element x y z (fractional)
Rh1 0.253 0.253 0.253  0.19
Rh2 0.747 0.747 0.747  0.19
Rh3 0.500 0.500 0.500  -0.34
Fe1 0.000 0.000 0.000  2.77

---

Below is a relaxed structure of FeRh4, with properties calculated at the GGA-PBE level.

## Properties
Its offset from the most stable computed form is 0.000 eV per formula unit. The calculated formation energy comes out at -0.01 eV per atom. As for the space group: C2/m, No. 12.

a b c (Å): 4.672 4.672 6.608
angles (deg): 61.23 61.23 33.73
Last column: magnetic moment on the atom in μB.
Element x y z (fractional)
Rh1 0.600 0.600 0.603  0.12
Rh2 0.400 0.400 0.397  0.12
Rh3 0.205 0.205 0.194  0.13
Rh4 0.795 0.795 0.806  0.13
Fe1 0.000 0.000 0.000  2.91

---

Below is a relaxed structure of Fe3Rh, with properties calculated at the GGA-PBE level.

## Properties
The calculated formation energy comes out at 0.04 eV per atom. As for the space group: Pmmn, No. 59.

a b c (Å): 4.130 4.558 5.098
angles (deg): 90.00 90.00 90.00
Last column: magnetic moment on the atom in μB.
Element x y z (fractional)
Rh1 0.000 0.343 0.000  0.05
Rh2 0.500 0.657 0.500  0.05
Fe1 0.000 0.328 0.500  -2.30
Fe2 0.500 0.672 0.000  -2.30
Fe3 0.000 0.845 0.749  1.99
Fe4 0.500 0.155 0.249  1.99
Fe5 0.500 0.155 0.751  1.99
Fe6 0.000 0.845 0.251  1.99

---

Below is a relaxed structure of Fe5Rh, with properties calculated at the GGA-PBE level.

## Properties
Its offset from the most stable computed form is 0.046 eV per formula unit. The calculated formation energy comes out at -0.02 eV per atom. As for the space group: Cmmm, No. 65.

a b c (Å): 4.109 4.854 4.113
angles (deg): 64.93 90.00 90.00
Last column: magnetic moment on the atom in μB.
Element x y z (fractional)
Fe1 0.500 0.004 0.498  2.67
Fe2 0.000 0.667 0.667  2.61
Fe3 0.500 0.330 0.835  2.67
Fe4 0.000 0.008 0.996  2.72
Fe5 0.000 0.325 0.337  2.72
Rh1 0.500 0.667 0.167  0.86

---

Below is a relaxed structure of FeRh2, with properties calculated at the GGA-PBE level.

## Properties
The calculated formation energy comes out at -0.03 eV per atom. As for the space group: Cmmm, No. 65.

a b c (Å): 3.731 6.046 3.830
angles (deg): 71.53 90.00 90.00
Last column: magnetic moment on the atom in μB.
Element x y z (fractional)
Rh1 0.000 0.333 0.333  0.18
Rh2 0.500 0.998 0.501  0.25
Rh3 0.500 0.333 0.833  0.29
Rh4 0.500 0.669 0.165  0.25
Fe1 0.000 0.003 0.998  2.96
Fe2 0.000 0.663 0.668  2.96

---

Below is a relaxed structure of Fe3Rh2, with properties calculated at the GGA-PBE level.

## Properties
Its offset from the most stable computed form is 0.517 eV per formula unit. The calculated formation energy comes out at 0.06 eV per atom. As for the space group: Fdd2, No. 43.

a b c (Å): 7.722 6.842 4.958
angles (deg): 80.02 60.76 39.22
Last column: magnetic moment on the atom in μB.
Element x y z (fractional)
Fe1 0.149 0.351 0.351  2.99
Fe2 0.551 0.749 0.951  2.91
Fe3 0.299 0.502 0.699  2.91
Fe4 0.501 0.699 0.502  2.91
Fe5 0.748 0.951 0.749  2.91
Fe6 0.899 0.101 0.101  2.99
Rh1 0.953 0.150 0.548  0.83
Rh2 0.348 0.548 0.150  0.83
Rh3 0.100 0.297 0.902  0.83
Rh4 0.702 0.902 0.297  0.83

---

Below is a relaxed structure of FeRh2, with properties calculated at the GGA-PBE level.

## Properties
The calculated formation energy comes out at 0.13 eV per atom. As for the space group: I4_1/amd, No. 141.

a b c (Å): 11.651 11.651 11.651
angles (deg): 166.74 166.74 18.79
Last column: magnetic moment on the atom in μB.
Element x y z (fractional)
Rh1 0.424 0.424 0.000  0.03
Rh2 0.174 0.674 0.500  0.03
Rh3 0.576 0.576 0.000  0.03
Rh4 0.326 0.826 0.500  0.03
Fe1 0.750 0.250 0.500  2.39
Fe2 0.000 0.000 0.000  2.39

---

Below is a relaxed structure of FeRh2, with properties calculated at the GGA-PBE level.

## Properties
The calculated formation energy comes out at 0.29 eV per atom. As for the space group: P6_3/mmc, No. 194.

a b c (Å): 5.080 8.153 5.080
angles (deg): 90.00 120.00 90.00
Last column: magnetic moment on the atom in μB.
Element x y z (fractional)
Rh1 0.828 0.750 0.656  0.37
Rh2 0.000 0.500 0.000  0.40
Rh3 0.172 0.250 0.344  0.37
Rh4 0.000 0.000 0.000  0.40
Rh5 0.828 0.750 0.172  0.37
Rh6 0.656 0.250 0.828  0.37
Rh7 0.344 0.750 0.172  0.37
Rh8 0.172 0.250 0.828  0.37
Fe1 0.333 0.908 0.667  3.24
Fe2 0.333 0.592 0.667  3.24
Fe3 0.667 0.408 0.333  3.24
Fe4 0.667 0.092 0.333  3.24

---

Below is a relaxed structure of Fe4Rh5, with properties calculated at the GGA-PBE level.

## Properties
Its offset from the most stable computed form is 0.035 eV per formula unit. The calculated formation energy comes out at 0.02 eV per atom. As for the space group: Immm, No. 71.

a b c (Å): 2.816 6.741 6.741
angles (deg): 81.86 77.94 77.94
Last column: magnetic moment on the atom in μB.
Element x y z (fractional)
Rh1 0.000 0.017 0.983  0.46
Rh2 0.000 0.317 0.683  0.46
Rh3 0.297 0.369 0.036  0.50
Rh4 0.000 0.667 0.333  0.87
Rh5 0.703 0.964 0.631  0.50
Fe1 0.342 0.641 0.675  2.92
Fe2 0.342 0.009 0.308  2.92
Fe3 0.658 0.325 0.359  2.92
Fe4 0.658 0.692 0.991  2.92

---

Below is a relaxed structure of FeRh4, with properties calculated at the GGA-PBE level.

## Properties
Its offset from the most stable computed form is 2.312 eV per formula unit. The calculated formation energy comes out at 0.45 eV per atom. As for the space group: I4/mmm, No. 139.

a b c (Å): 6.778 6.778 6.778
angles (deg): 149.75 149.75 43.30
Last column: magnetic moment on the atom in μB.
Element x y z (fractional)
Fe1 0.000 0.000 0.000  3.27
Rh1 0.597 0.597 0.000  0.14
Rh2 0.250 0.750 0.500  -0.07
Rh3 0.403 0.403 0.000  0.14
Rh4 0.750 0.250 0.500  -0.07

---

Below is a relaxed structure of Fe3Rh, with properties calculated at the GGA-PBE level.

## Properties
The calculated formation energy comes out at 0.13 eV per atom. As for the space group: P-6m2, No. 187.

a b c (Å): 2.591 2.591 8.210
angles (deg): 90.00 90.00 120.00
Last column: magnetic moment on the atom in μB.
Element x y z (fractional)
Fe1 0.000 0.000 0.012  1.90
Fe2 0.333 0.667 0.250  -1.71
Fe3 0.000 0.000 0.488  1.90
Rh1 0.333 0.667 0.750  0.28

---

Below is a relaxed structure of FeRh2, with properties calculated at the GGA-PBE level.

## Properties
The calculated formation energy comes out at -0.01 eV per atom. As for the space group: Pmmm, No. 47.

a b c (Å): 2.713 8.574 3.698
angles (deg): 90.00 90.00 108.49
Last column: magnetic moment on the atom in μB.
Element x y z (fractional)
Rh1 0.994 0.494 0.500  0.07
Rh2 0.340 0.839 0.500  0.07
Rh3 0.667 0.167 0.500  0.41
Rh4 0.667 0.667 0.000  -0.14
Fe1 0.000 0.000 0.000  2.83
Fe2 0.333 0.333 0.000  2.83

---

Below is a relaxed structure of FeRh2, with properties calculated at the GGA-PBE level.

## Properties
The calculated formation energy comes out at 0.34 eV per atom. As for the space group: Fm-3m, No. 225.

a b c (Å): 4.013 4.013 4.013
angles (deg): 60.00 60.00 60.00
Last column: magnetic moment on the atom in μB.
Element x y z (fractional)
Rh1 0.750 0.750 0.750  0.18
Rh2 0.250 0.250 0.250  0.18
Fe1 0.000 0.000 0.000  2.39

---

Below is a relaxed structure of FeRh3, with properties calculated at the GGA-PBE level.

## Properties
The calculated formation energy comes out at -0.02 eV per atom. As for the space group: Cmmm, No. 65.

a b c (Å): 4.635 4.635 2.721
angles (deg): 90.00 90.00 108.73
Last column: magnetic moment on the atom in μB.
Element x y z (fractional)
Rh1 0.500 0.000 0.500  0.30
Rh2 0.000 0.500 0.500  0.30
Rh3 0.500 0.500 0.000  0.20
Fe1 0.000 0.000 0.000  3.05

---

Below is a relaxed structure of FeRh, with properties calculated at the GGA-PBE level.

## Properties
The calculated formation energy comes out at -0.05 eV per atom. As for the space group: Pm-3m, No. 221.

a b c (Å): 3.008 3.008 3.008
angles (deg): 90.00 90.00 90.00
Last column: magnetic moment on the atom in μB.
Element x y z (fractional)
Fe1 0.500 0.500 0.500  3.17
Rh1 0.000 0.000 0.000  1.03

---

Below is a relaxed structure of FeRh, with properties calculated at the GGA-PBE level.

## Properties
The calculated formation energy comes out at 0.56 eV per atom. As for the space group: Fm-3m, No. 225.

a b c (Å): 3.503 3.503 3.503
angles (deg): 60.00 60.00 60.00
Last column: magnetic moment on the atom in μB.
Element x y z (fractional)
Rh1 0.500 0.500 0.500  0.57
Fe1 0.000 0.000 0.000  2.98